No. 1
Entry from Alexandria via LeMat-Bulk: a relaxed CaZr2Cu crystal (PBEsol).

Summary:
M_tot (μB/atom): 0.000
Space group: P4/mmm
Offset from the most stable computed form (kJ/mol of formula units): 34
Electronic total energy (eV/cell): -23.2
DFT formation energy (meV/atom): 364

Geometry as extended XYZ:
```
4
Lattice="4.231 0.000 0.000 0.000 4.231 0.000 0.000 0.000 4.717" Properties=species:S:1:pos:R:3 pbc="T T T"
Ca 0.000 0.000 0.000
Zr 0.000 2.116 2.358
Zr 2.116 0.000 2.358
Cu 2.116 2.116 0.000
```



No. 2
Entry from Alexandria via LeMat-Bulk: a relaxed CsGeAsSe2 crystal (PBEsol).

Summary:
M_tot (μB/atom): 0.000
Space group: P4/mmm
Electronic total energy (eV/cell): -11.4

Geometry as extended XYZ:
```
5
Lattice="5.544 0.000 0.000 0.000 5.544 0.000 0.000 0.000 5.607" Properties=species:S:1:pos:R:3 pbc="T T T"
Cs 0.000 0.000 0.000
Ge 2.772 2.772 2.803
As 0.000 0.000 2.803
Se 0.000 2.772 0.000
Se 2.772 0.000 0.000
```



No. 3
Entry from Alexandria via LeMat-Bulk: a relaxed TaRuAu crystal (PBEsol).

Summary:
M_tot (μB/atom): 0.000
Space group: F-43m
Offset from the most stable computed form (kJ/mol of formula units): 281
Electronic total energy (eV/cell): -24.3
DFT formation energy (meV/atom): 794

Geometry as extended XYZ:
```
3
Lattice="0.000 3.034 3.034 3.034 0.000 3.034 3.034 3.034 0.000" Properties=species:S:1:pos:R:3 pbc="T T T"
Ta 0.000 0.000 0.000
Ru 3.034 3.034 3.034
Au 1.517 1.517 1.517
```



No. 4
Entry from Alexandria via LeMat-Bulk: a relaxed Co2HgPt crystal (PBEsol).

Summary:
M_tot (μB/atom): 0.871
Space group: P4/mmm
Electronic total energy (eV/cell): -22.1
DFT formation energy (meV/atom): 217

Geometry as extended XYZ:
```
4
Lattice="2.749 0.000 0.000 0.000 2.749 0.000 0.000 0.000 7.356" Properties=species:S:1:pos:R:3 pbc="T T T"
Co 0.000 0.000 1.712
Co 0.000 0.000 5.644
Hg 1.375 1.375 3.678
Pt 1.375 1.375 0.000
```



No. 5
Entry from Alexandria via LeMat-Bulk: a relaxed LiCaGe2 crystal (PBEsol).

Summary:
M_tot (μB/atom): 0.000
Space group: Pnma
Electronic total energy (eV/cell): -64.6
DFT formation energy (meV/atom): -545

Geometry as extended XYZ:
```
16
Lattice="7.915 0.000 0.000 0.000 3.890 0.000 0.000 0.000 10.626" Properties=species:S:1:pos:R:3 pbc="T T T"
Li 0.064 0.973 1.174
Li 3.894 2.918 6.486
Li 4.021 0.973 4.139
Li 7.851 2.918 9.452
Ca 1.069 2.918 3.866
Ca 2.888 0.973 9.178
Ca 5.027 2.918 1.447
Ca 6.846 0.973 6.760
Ge 1.253 2.918 7.223
Ge 1.821 2.918 0.660
Ge 2.136 0.973 5.973
Ge 2.705 0.973 1.910
Ge 5.210 2.918 8.716
Ge 5.779 2.918 4.652
Ge 6.094 0.973 9.965
Ge 6.662 0.973 3.403
```



No. 6
Entry from Alexandria via LeMat-Bulk: a relaxed Co4Cu crystal (PBEsol).

Summary:
M_tot (μB/atom): 1.277
Space group: I4/m
Electronic total energy (eV/cell): -34.8
DFT formation energy (meV/atom): 87

Geometry as extended XYZ:
```
5
Lattice="-2.746 2.746 1.745 2.746 -2.746 1.745 2.746 2.746 -1.745" Properties=species:S:1:pos:R:3 pbc="T T T"
Co 1.650 0.511 0.000
Co 2.235 -1.096 1.745
Co 0.511 3.843 0.000
Co 1.096 2.235 1.745
Cu 0.000 0.000 1.745
```



No. 7
Entry from Alexandria via LeMat-Bulk: a relaxed SnH10C3NCl3 crystal (PBEsol).

Summary:
M_tot (μB/atom): 0.000
Space group: Cmc2_1
Electronic total energy (eV/cell): -176.2

Geometry as extended XYZ:
```
36
Lattice="4.733 -4.069 0.000 4.733 4.069 0.000 0.000 0.000 12.122" Properties=species:S:1:pos:R:3 pbc="T T T"
Sn 4.733 3.764 6.061
Sn 4.733 -3.764 0.000
H 3.524 1.653 2.127
H 2.626 0.597 3.277
H 4.733 1.554 9.597
H 3.828 0.742 10.924
H 4.733 1.343 4.142
H 2.626 -0.597 9.338
H 3.512 0.135 7.946
H 3.512 -0.135 1.885
H 5.942 1.653 2.127
H 3.828 -0.742 4.863
H 5.638 0.742 10.924
H 3.524 -1.653 8.188
H 5.954 0.135 7.946
H 5.954 -0.135 1.885
H 6.840 0.597 3.277
H 4.733 -1.343 10.203
H 5.638 -0.742 4.863
H 4.733 -1.554 3.536
H 6.840 -0.597 9.338
H 5.942 -1.653 8.188
C 3.512 0.676 2.631
C 4.733 0.707 10.299
C 3.512 -0.676 8.692
C 5.954 0.676 2.631
C 4.733 -0.707 4.238
C 5.954 -0.676 8.692
N 4.733 0.552 3.460
N 4.733 -0.552 9.521
Cl 4.733 3.892 3.538
Cl 2.976 1.960 5.980
Cl 6.490 1.960 5.980
Cl 2.976 -1.960 12.041
Cl 6.490 -1.960 12.041
Cl 4.733 -3.892 9.599
```



No. 8
Entry from Alexandria via LeMat-Bulk: a relaxed ScSb2Mo crystal (PBEsol).

Summary:
M_tot (μB/atom): 0.000
Space group: R3m
Offset from the most stable computed form (kJ/mol of formula units): 76
Electronic total energy (eV/cell): -27.3

Geometry as extended XYZ:
```
4
Lattice="1.654 0.955 9.175 -1.654 0.955 9.175 0.000 -1.910 9.175" Properties=species:S:1:pos:R:3 pbc="T T T"
Sc 0.000 0.000 0.000
Sb 0.000 0.000 6.768
Sb 0.000 0.000 13.170
Mo 0.000 0.000 20.435
```



No. 9
Entry from Alexandria via LeMat-Bulk: a relaxed Sc2Zn2Ga crystal (PBEsol).

Summary:
M_tot (μB/atom): 0.000
Space group: P4/mbm
Electronic total energy (eV/cell): -43.7
DFT formation energy (meV/atom): -430

Geometry as extended XYZ:
```
10
Lattice="6.602 0.000 0.000 0.000 6.602 0.000 0.000 0.000 4.052" Properties=species:S:1:pos:R:3 pbc="T T T"
Sc 1.126 2.176 0.000
Sc 2.176 5.477 0.000
Sc 4.427 1.126 0.000
Sc 5.477 4.427 0.000
Zn 0.859 4.160 2.026
Zn 2.442 0.859 2.026
Zn 4.160 5.744 2.026
Zn 5.744 2.442 2.026
Ga 0.000 0.000 2.026
Ga 3.301 3.301 2.026
```



No. 10
Entry from Alexandria via LeMat-Bulk: a relaxed ScRe2Ni crystal (PBEsol).

Summary:
M_tot (μB/atom): 0.000
Space group: Cmmm
Offset from the most stable computed form (kJ/mol of formula units): 64
Electronic total energy (eV/cell): -38.7
DFT formation energy (meV/atom): 192

Geometry as extended XYZ:
```
4
Lattice="2.630 -4.196 0.000 2.630 4.196 0.000 0.000 0.000 2.646" Properties=species:S:1:pos:R:3 pbc="T T T"
Sc 0.000 0.000 0.000
Re 1.315 2.098 1.323
Re 1.315 -2.098 1.323
Ni 2.630 0.000 0.000
```



No. 11
Entry from Alexandria via LeMat-Bulk: a relaxed NiSe crystal (PBEsol).

Summary:
M_tot (μB/atom): 0.000
Space group: P6_3/mmc
Electronic total energy (eV/cell): -21.2

Geometry as extended XYZ:
```
4
Lattice="3.651 0.000 0.000 -1.826 3.162 0.000 0.000 0.000 5.091" Properties=species:S:1:pos:R:3 pbc="T T T"
Ni 0.000 0.000 0.000
Ni 0.000 0.000 2.545
Se 0.000 2.108 1.273
Se 1.826 1.054 3.818
```



No. 12
Entry from Alexandria via LeMat-Bulk: a relaxed MnAl2Zn crystal (PBEsol).

Summary:
M_tot (μB/atom): 0.529
Space group: Cmmm
Electronic total energy (eV/cell): -19.9
DFT formation energy (meV/atom): -81

Geometry as extended XYZ:
```
4
Lattice="2.694 -3.685 0.000 2.694 3.685 0.000 0.000 0.000 2.742" Properties=species:S:1:pos:R:3 pbc="T T T"
Mn 0.000 0.000 0.000
Al 1.347 1.842 1.371
Al 1.347 -1.842 1.371
Zn 2.694 0.000 0.000
```